[1]
# NaUTl2Br8

NaUTl2Br8 after structural relaxation (PBE, Alexandria).

## Properties
Space-group type = No. 10
V = 41.602 Å³ per atom
Formation energy (no corrections) = -1.141 eV per atom

Cell: 7.1850 9.4077 7.4023 Å, 90.00 93.85 90.00°
With the nearest neighbours (Å) after each atom.
Fractional coordinates of all 12 atoms:
Na 0.0000 0.0000 0.0000  2 Br 2.84
U 0.0000 0.5000 0.0000  6 Br 2.69-2.72
Tl 0.5000 0.2307 0.5000  2 Br 3.07
Tl 0.5000 0.7693 0.5000  2 Br 3.07
Br 0.1958 0.5000 0.3230  1 U 2.69
Br 0.2248 0.2935 0.8794  1 U 2.72
Br 0.2248 0.7065 0.8794  1 U 2.72
Br 0.2542 0.0000 0.3113  1 Na 2.84, 2 Tl 3.07
Br 0.7458 0.0000 0.6887  1 Na 2.84, 2 Tl 3.07
Br 0.7752 0.2935 0.1206  1 U 2.72
Br 0.7752 0.7065 0.1206  1 U 2.72
Br 0.8042 0.5000 0.6770  1 U 2.69

***

[2]
# GdErMgTl

GdErMgTl after structural relaxation (PBE, Alexandria).

## Properties
Space-group type = No. 216
Density of states at the Fermi level = 4.66 states/eV per cell
Formation enthalpy at 0 K = -0.23 eV per atom
V = 27.001 Å³ per atom

Cell: 5.3454 5.3454 5.3454 Å, 60.00 60.00 60.00°
With the nearest neighbours (Å) after each atom.
Fractional coordinates of all 4 atoms:
Gd 0.0000 0.0000 0.0000  4 Tl 3.27, 4 Mg 3.27
Er 0.5000 0.5000 0.5000  4 Tl 3.27, 4 Mg 3.27
Mg 0.2500 0.2500 0.2500  4 Gd 3.27, 4 Er 3.27
Tl 0.7500 0.7500 0.7500  4 Gd 3.27, 4 Er 3.27

***

[3]
# Fe3OsRh4

Fe3OsRh4 after structural relaxation (PBE, Alexandria).

## Properties
Space-group type = No. 51
Density of states at the Fermi level = 17.97 states/eV per cell
Formation enthalpy at 0 K = 0.01 eV per atom
V = 13.412 Å³ per atom

Cell: 8.6656 5.3802 4.6029 Å, 90.00 90.00 90.00°
With the nearest neighbours (Å) after each atom.
Fractional coordinates of all 16 atoms:
Fe 0.0000 0.0000 0.0000  8 Rh 2.64-2.67, 2 Fe 2.67, 2 Os 2.69
Fe 0.2500 0.0000 0.3400  8 Rh 2.63-2.68, 4 Fe 2.67-2.69
Fe 0.2500 0.5000 0.3312  8 Rh 2.62-2.74, 2 Os 2.65, 2 Fe 2.69
Fe 0.5000 0.0000 0.0000  8 Rh 2.64-2.67, 2 Fe 2.67, 2 Os 2.69
Fe 0.7500 0.0000 0.6600  8 Rh 2.63-2.68, 4 Fe 2.67-2.69
Fe 0.7500 0.5000 0.6688  8 Rh 2.62-2.74, 2 Os 2.65, 2 Fe 2.69
Os 0.0000 0.5000 0.0000  4 Fe 2.65-2.69, 8 Rh 2.66
Os 0.5000 0.5000 0.0000  4 Fe 2.65-2.69, 8 Rh 2.66
Rh 0.0000 0.2510 0.5000  6 Fe 2.66-2.67, 2 Os 2.66, 4 Rh 2.68-2.70
Rh 0.0000 0.7490 0.5000  6 Fe 2.66-2.67, 2 Os 2.66, 4 Rh 2.68-2.70
Rh 0.2500 0.2463 0.8464  6 Fe 2.62-2.74, 4 Rh 2.65-2.73, 2 Os 2.66
Rh 0.2500 0.7537 0.8464  6 Fe 2.62-2.74, 4 Rh 2.65-2.73, 2 Os 2.66
Rh 0.5000 0.2510 0.5000  6 Fe 2.66-2.67, 2 Os 2.66, 4 Rh 2.68-2.70
Rh 0.5000 0.7490 0.5000  6 Fe 2.66-2.67, 2 Os 2.66, 4 Rh 2.68-2.70
Rh 0.7500 0.2463 0.1536  6 Fe 2.62-2.74, 4 Rh 2.65-2.73, 2 Os 2.66
Rh 0.7500 0.7537 0.1536  6 Fe 2.62-2.74, 4 Rh 2.65-2.73, 2 Os 2.66

***

[4]
# AlBr2Cl8

AlBr2Cl8 after structural relaxation (PBE, Alexandria).

## Properties
Space-group type = No. 2
Density of states at the Fermi level = 1.56 states/eV per cell
V = 36.159 Å³ per atom
Formation energy (no corrections) = -0.449 eV per atom

Cell: 6.5405 8.0730 8.1405 Å, 86.49 89.96 68.03°
With the nearest neighbours (Å) after each atom.
Fractional coordinates of all 11 atoms:
Al 0.0000 0.0000 0.0000  4 Cl 2.14-2.39
Br 0.2239 0.5561 0.3550  1 Cl 2.24
Br 0.7761 0.4439 0.6450  1 Cl 2.24
Cl 0.0163 0.9505 0.7436  1 Al 2.14
Cl 0.1636 0.6829 0.0548  1 Al 2.39, 1 Br 2.56
Cl 0.2813 0.4323 0.6132  1 Br 2.24
Cl 0.4415 0.8977 0.0145  1 Cl 2.07
Cl 0.5585 0.1023 0.9855  1 Cl 2.07
Cl 0.7187 0.5677 0.3868  1 Br 2.24
Cl 0.8364 0.3171 0.9452  1 Al 2.39, 1 Br 2.56
Cl 0.9837 0.0495 0.2564  1 Al 2.14

***

- Which value of V does entry 2 give?
  27.001 Å³ per atom

***

- Which of these has the highest V?
  NaUTl2Br8